Record 1
# PBE BCl, relaxed
data_BCl
_symmetry_space_group_name_H-M 'P 21 21 21'
_symmetry_Int_Tables_number 19
_symmetry_space_group_name_Hall 'P 2ac 2ab'
_cell_length_a 8.2356
_cell_length_b 13.7250
_cell_length_c 14.8801
_cell_angle_alpha 90.00
_cell_angle_beta 90.00
_cell_angle_gamma 90.00
loop_
_atom_site_label
_atom_site_type_symbol
_atom_site_fract_x
_atom_site_fract_y
_atom_site_fract_z
_atom_site_occupancy
B1 B 0.0135 0.0040 0.0455 1
B2 B 0.0159 0.4369 0.3551 1
B3 B 0.0449 0.0603 0.1671 1
B4 B 0.1242 0.8977 0.0693 1
B5 B 0.1374 0.1083 0.0703 1
B6 B 0.1913 0.9452 0.1724 1
B7 B 0.2431 0.9311 0.6559 1
B8 B 0.2466 0.9980 0.5552 1
Cl1 Cl 0.0839 0.6191 0.2555 1
Cl2 Cl 0.0864 0.0195 0.4792 1
Cl3 Cl 0.0925 0.8698 0.7138 1
Cl4 Cl 0.1244 0.5251 0.5430 1
Cl5 Cl 0.1326 0.2209 0.0184 1
Cl6 Cl 0.1413 0.7854 0.0178 1
Cl7 Cl 0.1798 0.3755 0.3097 1
Cl8 Cl 0.2003 0.1142 0.7586 1
# ΔE to the lowest computed polymorph   90.3 meV/atom
# Formation energy without anion corrections   -549 meV/atom


Record 2
# PBE In2ReCl, relaxed
data_In2ReCl
_symmetry_space_group_name_H-M 'P 4 m m'
_symmetry_Int_Tables_number 99
_symmetry_space_group_name_Hall 'P 4 -2'
_cell_length_a 3.0584
_cell_length_b 3.0584
_cell_length_c 9.4440
_cell_angle_alpha 90.00
_cell_angle_beta 90.00
_cell_angle_gamma 90.00
loop_
_atom_site_label
_atom_site_type_symbol
_atom_site_fract_x
_atom_site_fract_y
_atom_site_fract_z
_atom_site_occupancy
In1 In 0.0000 0.0000 0.0000 1
In2 In 0.5000 0.5000 0.2808 1
Re1 Re 0.0000 0.0000 0.4889 1
Cl1 Cl 0.5000 0.5000 0.6427 1
# ΔE to the lowest computed polymorph   268.7 meV/atom
# Formation energy without anion corrections   540 meV/atom


Record 3
# PBE TbSbPtRh, relaxed
data_TbSbPtRh
_symmetry_space_group_name_H-M 'F -4 3 m'
_symmetry_Int_Tables_number 216
_symmetry_space_group_name_Hall 'F -4 2 3'
_cell_length_a 6.7866
_cell_length_b 6.7866
_cell_length_c 6.7866
_cell_angle_alpha 90.00
_cell_angle_beta 90.00
_cell_angle_gamma 90.00
loop_
_atom_site_label
_atom_site_type_symbol
_atom_site_fract_x
_atom_site_fract_y
_atom_site_fract_z
_atom_site_occupancy
Tb1 Tb 0.0000 0.0000 0.0000 1
Sb1 Sb 0.0000 0.0000 0.5000 1
Pt1 Pt 0.2500 0.2500 0.2500 1
Rh1 Rh 0.2500 0.2500 0.7500 1
# Formation energy without anion corrections   -728 meV/atom


Record 4
# PBE Zn2Pt3O8, relaxed
data_Zn2Pt3O8
_symmetry_space_group_name_H-M 'C 1 2/m 1'
_symmetry_Int_Tables_number 12
_symmetry_space_group_name_Hall '-C 2y'
_cell_length_a 9.7557
_cell_length_b 6.1183
_cell_length_c 5.3893
_cell_angle_alpha 90.00
_cell_angle_beta 101.51
_cell_angle_gamma 90.00
loop_
_atom_site_label
_atom_site_type_symbol
_atom_site_fract_x
_atom_site_fract_y
_atom_site_fract_z
_atom_site_occupancy
Zn1 Zn 0.1937 0.0000 0.0817 1
Pt1 Pt 0.0000 0.2493 0.5000 1
Pt2 Pt 0.0000 0.5000 0.0000 1
O1 O 0.1038 0.5000 0.3674 1
O2 O 0.1070 0.0000 0.3832 1
O3 O 0.1223 0.2742 0.8592 1
# Formation energy without anion corrections   -749 meV/atom


Record 5
# PBE As2PdPt7Pb2, relaxed
data_As2PdPt7Pb2
_symmetry_space_group_name_H-M 'I 4/m m m'
_symmetry_Int_Tables_number 139
_symmetry_space_group_name_Hall '-I 4 2'
_cell_length_a 3.9341
_cell_length_b 3.9341
_cell_length_c 31.1458
_cell_angle_alpha 90.00
_cell_angle_beta 90.00
_cell_angle_gamma 90.00
loop_
_atom_site_label
_atom_site_type_symbol
_atom_site_fract_x
_atom_site_fract_y
_atom_site_fract_z
_atom_site_occupancy
As1 As 0.0000 0.0000 0.1155 1
Pd1 Pd 0.0000 0.0000 0.5000 1
Pt1 Pt 0.0000 0.0000 0.0000 1
Pt2 Pt 0.0000 0.0000 0.1936 1
Pt3 Pt 0.0000 0.5000 0.0667 1
Pb1 Pb 0.0000 0.0000 0.2876 1
# Energy relative to the elements   -0.22 eV per atom


Record 6
# PBE PmY3Se6, relaxed
data_PmY3Se6
_symmetry_space_group_name_H-M 'P 1 21/m 1'
_symmetry_Int_Tables_number 11
_symmetry_space_group_name_Hall '-P 2yb'
_cell_length_a 11.6230
_cell_length_b 4.1359
_cell_length_c 11.9143
_cell_angle_alpha 90.00
_cell_angle_beta 109.09
_cell_angle_gamma 90.00
loop_
_atom_site_label
_atom_site_type_symbol
_atom_site_fract_x
_atom_site_fract_y
_atom_site_fract_z
_atom_site_occupancy
Pm1 Pm 0.0460 0.2500 0.1942 1
Y1 Y 0.1591 0.2500 0.5846 1
Y2 Y 0.3181 0.7500 0.9991 1
Y3 Y 0.4357 0.2500 0.3329 1
Se1 Se 0.0834 0.7500 0.4034 1
Se2 Se 0.1145 0.2500 0.9651 1
Se3 Se 0.1945 0.7500 0.7503 1
Se4 Se 0.2577 0.7500 0.2250 1
Se5 Se 0.3947 0.2500 0.5607 1
Se6 Se 0.4803 0.2500 0.1146 1
# Formation energy without anion corrections   -1894 meV/atom


Record 7
# PBE RbPd2C, relaxed
data_RbPd2C
_symmetry_space_group_name_H-M 'I 41/a m d'
_symmetry_Int_Tables_number 141
_cell_length_a 5.9405
_cell_length_b 5.9405
_cell_length_c 10.5016
_cell_angle_alpha 90.00
_cell_angle_beta 90.00
_cell_angle_gamma 90.00
loop_
_symmetry_equiv_pos_as_xyz
'x,y,z'
'-x,-y,-z'
'-y+1/4,x+3/4,z+1/4'
'y+1/4,-x+3/4,-z+1/4'
'-x+1/2,-y,z+1/2'
'x+1/2,y,-z+1/2'
'y+1/4,-x+1/4,z+3/4'
'-y+1/4,x+1/4,-z+3/4'
'x,-y,-z'
'-x,y,z'
'-y+1/4,-x+1/4,-z+3/4'
'y+1/4,x+1/4,z+3/4'
'-x+1/2,y,-z+1/2'
'x+1/2,-y,z+1/2'
'y+1/4,x+3/4,-z+1/4'
'-y+1/4,-x+3/4,z+1/4'
'x+1/2,y+1/2,z+1/2'
'-x+1/2,-y+1/2,-z+1/2'
'-y+3/4,x+1/4,z+3/4'
'y+3/4,-x+1/4,-z+3/4'
'-x,-y+1/2,z'
'x,y+1/2,-z'
'y+3/4,-x+3/4,z+1/4'
'-y+3/4,x+3/4,-z+1/4'
'x+1/2,-y+1/2,-z+1/2'
'-x+1/2,y+1/2,z+1/2'
'-y+3/4,-x+3/4,-z+1/4'
'y+3/4,x+3/4,z+1/4'
'-x,y+1/2,-z'
'x,-y+1/2,z'
'y+3/4,x+1/4,-z+3/4'
'-y+3/4,-x+1/4,z+3/4'
loop_
_atom_site_label
_atom_site_type_symbol
_atom_site_fract_x
_atom_site_fract_y
_atom_site_fract_z
_atom_site_occupancy
Rb1 Rb 0.0000 0.2500 0.3750 1
Pd1 Pd 0.0000 0.0000 0.0000 1
C1 C 0.0000 0.2500 0.8750 1
# Energy relative to the elements   0.38 eV per atom


Record 8
# PBE MgRe2Os, relaxed
data_MgRe2Os
_symmetry_space_group_name_H-M 'C m m m'
_symmetry_Int_Tables_number 65
_symmetry_space_group_name_Hall '-C 2 2'
_cell_length_a 5.2051
_cell_length_b 8.4720
_cell_length_c 2.7497
_cell_angle_alpha 90.00
_cell_angle_beta 90.00
_cell_angle_gamma 90.00
loop_
_atom_site_label
_atom_site_type_symbol
_atom_site_fract_x
_atom_site_fract_y
_atom_site_fract_z
_atom_site_occupancy
Mg1 Mg 0.0000 0.0000 0.0000 1
Re1 Re 0.2500 0.2500 0.5000 1
Os1 Os 0.0000 0.5000 0.0000 1
# Energy relative to the elements   0.36 eV per atom


Record 9
# PBE LiErAg, relaxed
data_LiErAg
_symmetry_space_group_name_H-M 'I 4 m m'
_symmetry_Int_Tables_number 107
_symmetry_space_group_name_Hall 'I 4 -2'
_cell_length_a 3.6136
_cell_length_b 3.6136
_cell_length_c 9.6773
_cell_angle_alpha 90.00
_cell_angle_beta 90.00
_cell_angle_gamma 90.00
loop_
_atom_site_label
_atom_site_type_symbol
_atom_site_fract_x
_atom_site_fract_y
_atom_site_fract_z
_atom_site_occupancy
Li1 Li 0.0000 0.0000 0.0000 1
Er1 Er 0.0000 0.0000 0.3064 1
Ag1 Ag 0.0000 0.0000 0.6319 1
# ΔE to the lowest computed polymorph   28.9 meV/atom
# Energy relative to the elements   -0.16 eV per atom


Record 10
# PBE LaPrNi4, relaxed
data_LaPrNi4
_symmetry_space_group_name_H-M 'F -4 3 m'
_symmetry_Int_Tables_number 216
_symmetry_space_group_name_Hall 'F -4 2 3'
_cell_length_a 7.3653
_cell_length_b 7.3653
_cell_length_c 7.3653
_cell_angle_alpha 90.00
_cell_angle_beta 90.00
_cell_angle_gamma 90.00
loop_
_atom_site_label
_atom_site_type_symbol
_atom_site_fract_x
_atom_site_fract_y
_atom_site_fract_z
_atom_site_occupancy
La1 La 0.0000 0.0000 0.0000 1
Pr1 Pr 0.2500 0.2500 0.2500 1
Ni1 Ni 0.1250 0.1250 0.6250 1
# ΔE to the lowest computed polymorph   8.2 meV/atom
# Energy relative to the elements   -0.30 eV per atom


Record 11
# PBE YCr2Hg, relaxed
data_YCr2Hg
_symmetry_space_group_name_H-M 'C m m m'
_symmetry_Int_Tables_number 65
_symmetry_space_group_name_Hall '-C 2 2'
_cell_length_a 4.0445
_cell_length_b 4.0539
_cell_length_c 8.8022
_cell_angle_alpha 90.00
_cell_angle_beta 90.00
_cell_angle_gamma 90.00
loop_
_atom_site_label
_atom_site_type_symbol
_atom_site_fract_x
_atom_site_fract_y
_atom_site_fract_z
_atom_site_occupancy
Y1 Y 0.0000 0.0000 0.0000 1
Cr1 Cr 0.0000 0.5000 0.2680 1
Hg1 Hg 0.0000 0.0000 0.5000 1
# ΔE to the lowest computed polymorph   742.4 meV/atom
# Energy relative to the elements   0.91 eV per atom


Record 12
# PBE BaFeCu2, relaxed
data_BaFeCu2
_symmetry_space_group_name_H-M 'C 1 2/m 1'
_symmetry_Int_Tables_number 12
_symmetry_space_group_name_Hall '-C 2y'
_cell_length_a 7.1063
_cell_length_b 7.0584
_cell_length_c 3.2295
_cell_angle_alpha 90.00
_cell_angle_beta 90.30
_cell_angle_gamma 90.00
loop_
_atom_site_label
_atom_site_type_symbol
_atom_site_fract_x
_atom_site_fract_y
_atom_site_fract_z
_atom_site_occupancy
Ba1 Ba 0.0000 0.0000 0.0000 1
Fe1 Fe 0.0000 0.5000 0.0000 1
Cu1 Cu 0.2500 0.2500 0.5000 1
# Energy relative to the elements   0.75 eV per atom